Entry 1:
Computed, not measured: a relaxed structure of LaPmGe2Pt5 at the PBE-GGA level of DFT.

ΔE_f in eV/atom: -0.894
Space-group type: P4/mmm (123)

Lattice parameters (Å, degrees): 4.3732 4.3732 9.0516 90.00 90.00 90.00
Fractional coordinates of all 9 atoms:
1 La 0.0000 0.0000 0.0000
2 Pm 0.0000 0.0000 0.5000
3 Ge 0.5000 0.5000 0.3627
4 Ge 0.5000 0.5000 0.6373
5 Pt 0.0000 0.5000 0.2320
6 Pt 0.0000 0.5000 0.7680
7 Pt 0.5000 0.0000 0.2320
8 Pt 0.5000 0.0000 0.7680
9 Pt 0.5000 0.5000 0.0000

Entry 2:
Computed, not measured: a relaxed structure of LaPmGeRh at the PBE-GGA level of DFT.

Excess energy over the best structure of this formula in the dataset in meV per atom: 113
ΔE_f in eV/atom: -0.507
Space-group type: P4/nmm (129)

Lattice parameters (Å, degrees): 4.7147 4.7147 10.1376 90.00 90.00 90.00
Fractional coordinates of all 8 atoms:
1 La 0.2500 0.2500 0.1719
2 La 0.7500 0.7500 0.8281
3 Pm 0.2500 0.7500 0.5000
4 Pm 0.7500 0.2500 0.5000
5 Ge 0.2500 0.2500 0.8842
6 Ge 0.7500 0.7500 0.1158
7 Rh 0.2500 0.2500 0.6521
8 Rh 0.7500 0.7500 0.3479